First-principles (PBE) data for CaTlInSe2 after structural relaxation, as listed in the Alexandria database.

Cell: 5.5006 5.5006 5.8893 Å, 90.00 90.00 90.00°
Atoms (fractional coordinates):
Ca1 0.0000 0.0000 0.0000
Tl1 0.0000 0.0000 0.5000
In1 0.5000 0.5000 0.5000
Se1 0.0000 0.5000 0.0000
Se2 0.5000 0.0000 0.0000

Output
**DOS at the Fermi energy**: 2.38 states/eV/cell
**Crystal system**: tetragonal
**Calculated total energy**: -15.27 eV per formula unit
**Symmetry**: P4/mmm
**Formation energy from raw total energies**: -240 meV/atom

=====

First-principles (PBE) data for LaTaMo after structural relaxation, as listed in the Alexandria database.

Cell: 2.8555 5.2445 8.4073 Å, 90.00 90.00 90.00°
Atoms (fractional coordinates):
La1 0.0000 0.0000 0.0000
La2 0.5000 0.5000 0.5000
Ta1 0.0000 0.0000 0.3392
Ta2 0.5000 0.5000 0.8392
Mo1 0.0000 0.0000 0.6666
Mo2 0.5000 0.5000 0.1666

Output
**DOS at the Fermi energy**: 5.25 states/eV/cell
**Crystal system**: orthorhombic
**Formation energy**: 2.01 eV/f.u.
**Calculated total energy**: -25.60 eV per formula unit
**Symmetry**: Imm2

=====

First-principles (PBE) data for Hf5ZrTc6 after structural relaxation, as listed in the Alexandria database.

Cell: 7.3087 7.3087 6.5350 Å, 90.00 90.00 143.13°
Atoms (fractional coordinates):
Hf1 0.0000 0.0000 0.0000
Hf2 0.3333 0.6667 0.0000
Hf3 0.3327 0.6673 0.5000
Hf4 0.6667 0.3333 0.0000
Hf5 0.6673 0.3327 0.5000
Zr1 0.0000 0.0000 0.5000
Tc1 0.1671 0.8329 0.2494
Tc2 0.1671 0.8329 0.7506
Tc3 0.5000 0.5000 0.2487
Tc4 0.5000 0.5000 0.7513
Tc5 0.8329 0.1671 0.2494
Tc6 0.8329 0.1671 0.7506

Output
**DOS at the Fermi energy**: 10.48 states/eV/cell
**Crystal system**: orthorhombic
**Formation energy**: -5.51 eV/f.u.
**Calculated total energy**: -126.02 eV per formula unit
**Symmetry**: Cmmm

=====

First-principles (PBE) data for Ba3SnAu after structural relaxation, as listed in the Alexandria database.

Cell: 6.2154 6.2154 6.2154 Å, 90.00 90.00 90.00°
Atoms (fractional coordinates):
Ba1 0.0000 0.0000 0.5000
Ba2 0.0000 0.5000 0.0000
Ba3 0.5000 0.0000 0.0000
Sn1 0.5000 0.5000 0.5000
Au1 0.0000 0.0000 0.0000

Output
**DOS at the Fermi energy**: 5.37 states/eV/cell
**Crystal system**: cubic
**Formation energy**: -1.68 eV/f.u.
**Calculated total energy**: -14.73 eV per formula unit
**Symmetry**: Pm-3m

=====

Which of these has the lowest calculated total energy?
Hf5ZrTc6

=====

What is the formula in the third record?
Hf5ZrTc6

=====

What is the formula in the fourth record?
Ba3SnAu